A plane-wave DFT calculation with PBE was carried out for an optimized crystal structure of CrGaRe2S.

As for the space-group type: P4/mmm. The calculation puts the total energy at -5.9930 eV/atom.

Cell lengths 4.610, 4.381, 4.610 Å; angles 90.00, 90.00, 90.00 degrees
Site moments in Bohr magnetons follow the coordinates.
Positions (direct):
Cr  0.500  0.500  0.500  0.20
Ga  0.000  0.000  0.000  0.00
Re  0.500  0.000  0.000  0.42
Re  0.000  0.000  0.500  0.42
S  0.000  0.500  0.000  -0.01